Entry 1:
DFT (PBE) results for an optimized crystal structure of AcYAu3.

## Properties
- DFT formation energy (meV per atom) = -847.6

Lattice parameters (Å, degrees): 3.8796 28.4352 4.6777 90.00 90.00 90.00
Space group Cmcm (No. 63)
Symmetry-distinct sites (fractional):
Ac  0.0000  0.0752  0.2500 [4 per cell]
Y  0.0000  0.2072  0.7500 [4 per cell]
Au  0.0000  0.3122  0.7500 [4 per cell]
Au  0.0000  0.3741  0.2500 [4 per cell]
Au  0.0000  0.4731  0.2500 [4 per cell]



Entry 2:
DFT (PBE) results for an optimized crystal structure of NaLi2BeS.

## Properties
- energy relative to the elements, uncorrected (kJ/mol of formula units) = -43.3

Lattice parameters (Å, degrees): 4.6098 4.6098 5.3988 90.00 90.00 90.00
Space group P4/mmm (No. 123)
Symmetry-distinct sites (fractional):
Na  0.0000  0.0000  0.0000 [1 per cell]
Li  0.0000  0.5000  0.5000 [2 per cell]
Be  0.5000  0.5000  0.0000 [1 per cell]
S  0.0000  0.0000  0.5000 [1 per cell]



Entry 3:
DFT (PBE) results for an optimized crystal structure of LiAcDyTe3.

## Properties
- energy relative to the elements, uncorrected (kJ/mol of formula units) = -775.9

Lattice parameters (Å, degrees): 9.1679 4.4046 9.7381 90.00 104.61 90.00
Space group P2_1/m (No. 11)
Symmetry-distinct sites (fractional):
Li  0.0871  0.2500  0.0885 [2 per cell]
Ac  0.1920  0.2500  0.7350 [2 per cell]
Dy  0.3334  0.7500  0.3475 [2 per cell]
Te  0.0997  0.2500  0.3728 [2 per cell]
Te  0.2273  0.7500  0.0120 [2 per cell]
Te  0.4421  0.7500  0.6769 [2 per cell]



Entry 4:
DFT (PBE) results for an optimized crystal structure of NiWC2.

## Properties
- DFT formation energy (meV per atom) = 651.7

Lattice parameters (Å, degrees): 4.5751 4.5751 9.0238 90.00 90.00 90.00
Space group I-42d (No. 122)
Symmetry-distinct sites (fractional):
Ni  0.0000  0.0000  0.0000 [4 per cell]
W  0.0000  0.0000  0.5000 [4 per cell]
C  0.2413  0.2500  0.1250 [8 per cell]



Entry 5:
DFT (PBE) results for an optimized crystal structure of DyTmPu2S4.

## Properties
- energy relative to the elements, uncorrected (kJ/mol of formula units) = -1463.7

Lattice parameters (Å, degrees): 6.7550 3.8995 6.8233 90.00 109.25 90.00
Space group P2/m (No. 10)
Symmetry-distinct sites (fractional):
Dy  0.0000  0.0000  0.0000 [1 per cell]
Tm  0.5000  0.5000  0.0000 [1 per cell]
Pu  0.0000  0.5000  0.5000 [1 per cell]
Pu  0.5000  0.0000  0.5000 [1 per cell]
S  0.2507  0.5000  0.2444 [2 per cell]
S  0.2553  0.0000  0.7577 [2 per cell]



Entry 6:
DFT (PBE) results for an optimized crystal structure of CsHg2PS4.

## Properties
- energy relative to the elements, uncorrected (kJ/mol of formula units) = -274.2

Lattice parameters (Å, degrees): 10.0170 10.5102 8.8711 90.00 90.00 90.00
Space group Fmm2 (No. 42)
Symmetry-distinct sites (fractional):
Cs  0.0000  0.0000  0.0000 [4 per cell]
Hg  0.2500  0.2500  0.1928 [8 per cell]
P  0.0000  0.0000  0.5015 [4 per cell]
S  0.0000  0.1621  0.3767 [8 per cell]
S  0.1711  0.0000  0.6430 [8 per cell]